ScFe2Os | PBE | relaxed

Computed properties:
Energy above the lowest structure with this stoichiometry in eV/atom: 0.158

abc: 4.966 4.966 4.966
angles: 136.05 136.05 63.90
Each line ends with the local moment (μB).
Sites, in units of the cell vectors:
Fe 0.000 0.000 0.000  2.57
Fe 0.250 0.750 0.500  2.39
Os 0.500 0.500 0.000  0.55
Sc 0.750 0.250 0.500  -0.22